Record 1
NaMgAlSe3 | PBE | relaxed

Values from the calculation:
SG: P2_1/m
Formation energy without anion corrections in eV per atom: -1.044

Unit cell a=8.153 b=3.904 c=10.809 alpha=90.00 beta=107.52 gamma=90.00
Atoms (fractional coordinates):
Na (0.201, 0.250, 0.165)
Na (0.799, 0.750, 0.835)
Mg (0.356, 0.750, 0.899)
Mg (0.644, 0.250, 0.101)
Al (0.086, 0.250, 0.622)
Al (0.914, 0.750, 0.378)
Se (0.086, 0.250, 0.837)
Se (0.208, 0.750, 0.539)
Se (0.454, 0.750, 0.153)
Se (0.546, 0.250, 0.847)
Se (0.792, 0.250, 0.461)
Se (0.914, 0.750, 0.163)

***

Record 2
ScTlBH2 | PBE | relaxed

Values from the calculation:
Electronic total energy in eV/atom: -4.048
SG: P4/mmm

Unit cell a=3.754 b=3.754 c=5.062 alpha=90.00 beta=90.00 gamma=90.00
Atoms (fractional coordinates):
Sc (0.000, 0.000, 0.000)
Tl (0.500, 0.500, 0.500)
B (0.000, 0.000, 0.500)
H (0.000, 0.500, 0.000)
H (0.500, 0.000, 0.000)

***

Record 3
LiMn2W | PBE | relaxed

Values from the calculation:
Formation energy in eV/atom: 0.456
SG: R-3m

Unit cell a=9.279 b=9.279 c=9.279 alpha=17.02 beta=17.02 gamma=17.02
Atoms (fractional coordinates):
Li (0.000, 0.000, 0.000)
Mn (0.248, 0.248, 0.248)
Mn (0.752, 0.752, 0.752)
W (0.500, 0.500, 0.500)

***

Record 4
Li3Mg2In8 | PBE | relaxed

Values from the calculation:
Energy relative to the lowest polymorph listed for this composition in eV/atom: 0.0079
Formation energy in eV/atom: -0.083
SG: Cmmm

Unit cell a=8.600 b=8.600 c=5.127 alpha=90.00 beta=90.00 gamma=124.76
Atoms (fractional coordinates):
Li (0.000, 0.000, 0.000)
Li (0.296, 0.296, 0.500)
Li (0.704, 0.704, 0.500)
Mg (0.226, 0.774, 0.000)
Mg (0.774, 0.226, 0.000)
In (0.122, 0.878, 0.500)
In (0.194, 0.399, 0.000)
In (0.332, 0.668, 0.500)
In (0.399, 0.194, 0.000)
In (0.601, 0.806, 0.000)
In (0.668, 0.332, 0.500)
In (0.806, 0.601, 0.000)
In (0.878, 0.122, 0.500)

***

Record 5
Sm4DyY10 | PBE | relaxed

Values from the calculation:
Formation energy in eV/atom: 0.749
SG: I4/m

Unit cell a=9.481 b=9.481 c=9.481 alpha=99.59 beta=99.59 gamma=131.81
Atoms (fractional coordinates):
Sm (0.101, 0.701, 0.802)
Sm (0.299, 0.101, 0.400)
Sm (0.701, 0.899, 0.600)
Sm (0.899, 0.299, 0.198)
Dy (0.500, 0.500, 0.000)
Y (0.052, 0.350, 0.900)
Y (0.152, 0.052, 0.701)
Y (0.250, 0.750, 0.500)
Y (0.350, 0.451, 0.299)
Y (0.451, 0.152, 0.100)
Y (0.549, 0.848, 0.900)
Y (0.650, 0.549, 0.701)
Y (0.750, 0.250, 0.500)
Y (0.848, 0.948, 0.299)
Y (0.948, 0.650, 0.100)

***

Record 6
AlInS2 | PBE | relaxed

Values from the calculation:
SG: Cmcm
Formation energy without anion corrections in eV per atom: -0.460

Unit cell a=12.803 b=12.803 c=3.895 alpha=90.00 beta=90.00 gamma=164.85
Atoms (fractional coordinates):
Al (0.191, 0.809, 0.750)
Al (0.809, 0.191, 0.250)
In (0.452, 0.548, 0.750)
In (0.548, 0.452, 0.250)
S (0.286, 0.714, 0.750)
S (0.380, 0.620, 0.250)
S (0.620, 0.380, 0.750)
S (0.714, 0.286, 0.250)

***

Record 7
PaPdF2 | PBE | relaxed

Values from the calculation:
SG: R-3m
Formation energy without anion corrections in eV per atom: -1.604

Unit cell a=10.006 b=10.006 c=10.006 alpha=17.72 beta=17.72 gamma=17.72
Atoms (fractional coordinates):
Pa (0.000, 0.000, 0.000)
Pd (0.500, 0.500, 0.500)
F (0.389, 0.389, 0.389)
F (0.611, 0.611, 0.611)

***

Record 8
SbHF3 | PBE | relaxed

Values from the calculation:
Energy relative to the lowest polymorph listed for this composition in eV/atom: 0.3640
SG: Pm-3m

Unit cell a=4.425 b=4.425 c=4.425 alpha=90.00 beta=90.00 gamma=90.00
Atoms (fractional coordinates):
Sb (0.000, 0.000, 0.000)
H (0.500, 0.500, 0.500)
F (0.000, 0.000, 0.500)
F (0.000, 0.500, 0.000)
F (0.500, 0.000, 0.000)

***

Record 9
Sr4LaTi3O12 | PBE | relaxed

Values from the calculation:
SG: Im-3m
Formation energy without anion corrections in eV per atom: -2.900

Unit cell a=7.132 b=7.132 c=7.132 alpha=109.47 beta=109.47 gamma=109.47
Atoms (fractional coordinates):
Sr (0.000, 0.000, 0.500)
Sr (0.000, 0.500, 0.000)
Sr (0.500, 0.000, 0.000)
Sr (0.500, 0.500, 0.500)
La (0.000, 0.000, 0.000)
Ti (0.000, 0.500, 0.500)
Ti (0.500, 0.000, 0.500)
Ti (0.500, 0.500, 0.000)
O (0.000, 0.273, 0.273)
O (0.000, 0.727, 0.727)
O (0.250, 0.500, 0.750)
O (0.250, 0.750, 0.500)
O (0.273, 0.000, 0.273)
O (0.273, 0.273, 0.000)
O (0.500, 0.250, 0.750)
O (0.500, 0.750, 0.250)
O (0.727, 0.000, 0.727)
O (0.727, 0.727, 0.000)
O (0.750, 0.250, 0.500)
O (0.750, 0.500, 0.250)

***

Record 10
KLiB2H8 | PBE | relaxed

Values from the calculation:
Electronic total energy in eV/atom: -3.953
SG: P-3

Unit cell a=4.306 b=4.306 c=7.332 alpha=90.00 beta=90.00 gamma=120.00
Atoms (fractional coordinates):
K (0.000, 0.000, 0.000)
Li (0.000, 0.000, 0.500)
B (0.333, 0.667, 0.721)
B (0.667, 0.333, 0.279)
H (0.061, 0.398, 0.669)
H (0.333, 0.667, 0.889)
H (0.337, 0.939, 0.669)
H (0.398, 0.337, 0.331)
H (0.602, 0.663, 0.669)
H (0.663, 0.061, 0.331)
H (0.667, 0.333, 0.111)
H (0.939, 0.602, 0.331)

***

Record 11
B3IrI | PBE | relaxed

Values from the calculation:
Energy relative to the lowest polymorph listed for this composition in eV/atom: 1.9286
SG: Pm-3m
Formation energy without anion corrections in eV per atom: 2.984

Unit cell a=4.290 b=4.290 c=4.290 alpha=90.00 beta=90.00 gamma=90.00
Atoms (fractional coordinates):
B (0.000, 0.000, 0.500)
B (0.000, 0.500, 0.000)
B (0.500, 0.000, 0.000)
Ir (0.500, 0.500, 0.500)
I (0.000, 0.000, 0.000)